No. 1
Computed, not measured: a geometry-optimized MnGe2WBr structure at the GGA-PBEsol level of DFT.

**E**: -5.723 eV per atom

a = 4.5151 Å, b = 4.5151 Å, c = 4.8747 Å
α = 90.00°, β = 90.00°, γ = 90.00°
Closest atoms and distances in Å follow each position.
Space group P4/mmm (No. 123)
Asymmetric unit:
Mn 0.0000 0.0000 0.0000 (multiplicity 1)  4 Ge 2.26, 2 Br 2.44
Ge 0.0000 0.5000 0.0000 (multiplicity 2)  2 Mn 2.26
W 0.5000 0.5000 0.5000 (multiplicity 1)  4 Br 3.19, 8 Ge 3.32
Br 0.0000 0.0000 0.5000 (multiplicity 1)  2 Mn 2.44



No. 2
Computed, not measured: a geometry-optimized Li2CeTl structure at the GGA-PBEsol level of DFT.

**E_form**: -0.47 eV per formula unit
**E**: -3.407 eV per atom

a = 6.8998 Å, b = 6.8998 Å, c = 6.8998 Å
α = 90.00°, β = 90.00°, γ = 90.00°
Closest atoms and distances in Å follow each position.
Space group Fm-3m (No. 225)
Asymmetric unit:
Li 0.2500 0.2500 0.2500 (multiplicity 8)  4 Tl 2.99, 4 Ce 2.99
Ce 0.0000 0.0000 0.0000 (multiplicity 4)  8 Li 2.99
Tl 0.0000 0.0000 0.5000 (multiplicity 4)  8 Li 2.99



No. 3
Computed, not measured: a geometry-optimized SrMgRe structure at the GGA-PBEsol level of DFT.

**E_form**: 2.51 eV per formula unit
**E**: -4.792 eV per atom
**Energy relative to the lowest polymorph listed for this composition**: 47.2 meV/atom

a = 5.0847 Å, b = 5.0847 Å, c = 2.8090 Å
α = 90.00°, β = 90.00°, γ = 120.00°
Closest atoms and distances in Å follow each position.
Space group P3m1 (No. 156)
Asymmetric unit:
Sr 0.0000 0.0000 0.0000 (multiplicity 1)  2 Sr 2.81
Mg 0.3333 0.6667 0.4262 (multiplicity 1)  2 Mg 2.81, 3 Re 2.95
Re 0.6667 0.3333 0.5427 (multiplicity 1)  2 Re 2.81, 3 Mg 2.95



No. 4
Computed, not measured: a geometry-optimized KLiAlF2 structure at the GGA-PBEsol level of DFT.

**E**: -3.313 eV per atom

a = 4.2156 Å, b = 4.2156 Å, c = 4.9435 Å
α = 90.00°, β = 90.00°, γ = 90.00°
Closest atoms and distances in Å follow each position.
Space group P4/mmm (No. 123)
Asymmetric unit:
K 0.0000 0.0000 0.0000 (multiplicity 1)  2 Li 2.47
Li 0.0000 0.0000 0.5000 (multiplicity 1)  4 F 2.11
Al 0.5000 0.5000 0.0000 (multiplicity 1)  4 K 2.98, 8 F 3.25
F 0.0000 0.5000 0.5000 (multiplicity 2)  2 Li 2.11



No. 5
Computed, not measured: a geometry-optimized CuSbRu2 structure at the GGA-PBEsol level of DFT.

**E**: -7.086 eV per atom

a = 8.3434 Å, b = 2.9652 Å, c = 4.8870 Å
α = 90.00°, β = 102.75°, γ = 90.00°
Closest atoms and distances in Å follow each position.
Space group C2/m (No. 12)
Asymmetric unit:
Cu 0.0000 0.0000 0.0000 (multiplicity 2)  6 Ru 2.58-2.60, 4 Sb 2.86
Sb 0.0000 0.5000 0.5000 (multiplicity 2)  6 Ru 2.67-2.71, 4 Cu 2.86, 2 Sb 2.97
Ru 0.2505 0.0000 0.7717 (multiplicity 4)  3 Cu 2.58-2.60, 3 Sb 2.67-2.71, 2 Ru 2.68



No. 6
Computed, not measured: a geometry-optimized Li3HRh structure at the GGA-PBEsol level of DFT.

**E**: -3.425 eV per atom

a = 3.7716 Å, b = 3.7716 Å, c = 3.7716 Å
α = 90.00°, β = 90.00°, γ = 90.00°
Closest atoms and distances in Å follow each position.
Space group Pm-3m (No. 221)
Asymmetric unit:
Li 0.0000 0.0000 0.5000 (multiplicity 3)  2 H 1.89
H 0.0000 0.0000 0.0000 (multiplicity 1)  6 Li 1.89
Rh 0.5000 0.5000 0.5000 (multiplicity 1)  12 Li 2.67



No. 7
Computed, not measured: a geometry-optimized EuMg16Al12 structure at the GGA-PBEsol level of DFT.

**E_form**: -1.91 eV per formula unit
**E**: -3.071 eV per atom

a = 10.5003 Å, b = 10.5003 Å, c = 10.5003 Å
α = 90.00°, β = 90.00°, γ = 90.00°
Closest atoms and distances in Å follow each position.
Space group I-43m (No. 217)
Asymmetric unit:
Eu 0.0000 0.0000 0.0000 (multiplicity 2)  12 Al 3.22, 4 Mg 3.26
Mg 0.0392 0.3585 0.3585 (multiplicity 24)  5 Al 2.84-3.15, 7 Mg 3.01-3.15
Mg 0.1793 0.1793 0.8207 (multiplicity 8)  3 Mg 3.01, 6 Al 3.16, 1 Eu 3.26
Al 0.0911 0.0911 0.2781 (multiplicity 24)  3 Al 2.71-2.78, 3 Mg 2.84-2.98



No. 8
Computed, not measured: a geometry-optimized TmAgGe structure at the GGA-PBEsol level of DFT.

**E_form**: -2.09 eV per formula unit
**E**: -5.081 eV per atom

a = 6.9616 Å, b = 6.9616 Å, c = 4.1257 Å
α = 90.00°, β = 90.00°, γ = 120.00°
Closest atoms and distances in Å follow each position.
Space group P-62m (No. 189)
Asymmetric unit:
Tm 0.0000 0.4184 0.0000 (multiplicity 3)  5 Ge 2.91-2.94, 2 Ag 3.09
Ag 0.0000 0.7495 0.5000 (multiplicity 3)  4 Ge 2.66-2.70
Ge 0.0000 0.0000 0.0000 (multiplicity 1)  6 Ag 2.70, 3 Tm 2.91
Ge 0.3333 0.6667 0.5000 (multiplicity 2)  3 Ag 2.66, 6 Tm 2.94



No. 9
Computed, not measured: a geometry-optimized SrLi2Ag structure at the GGA-PBEsol level of DFT.

**E_form**: -0.27 eV per formula unit
**E**: -2.338 eV per atom

a = 4.5724 Å, b = 4.5724 Å, c = 16.5635 Å
α = 90.00°, β = 90.00°, γ = 120.00°
Closest atoms and distances in Å follow each position.
Space group R-3m (No. 166, hexagonal axes)
Asymmetric unit:
Sr 0.0000 0.0000 0.0000 (multiplicity 3)  8 Li 3.33-3.43
Li 0.0000 0.0000 0.2009 (multiplicity 6)  3 Ag 2.70, 3 Li 2.87
Ag 0.0000 0.0000 0.5000 (multiplicity 3)  6 Li 2.70



No. 10
Computed, not measured: a geometry-optimized BaSi3O structure at the GGA-PBEsol level of DFT.

**E**: -4.932 eV per atom

a = 4.5233 Å, b = 4.5233 Å, c = 4.5233 Å
α = 90.00°, β = 90.00°, γ = 90.00°
Closest atoms and distances in Å follow each position.
Space group Pm-3m (No. 221)
Asymmetric unit:
Ba 0.0000 0.0000 0.0000 (multiplicity 1)  12 Si 3.20
Si 0.0000 0.5000 0.5000 (multiplicity 3)  2 O 2.26
O 0.5000 0.5000 0.5000 (multiplicity 1)  6 Si 2.26



No. 11
Computed, not measured: a geometry-optimized InHg4 structure at the GGA-PBEsol level of DFT.

**E_form**: 0.22 eV per formula unit
**E**: -1.007 eV per atom
**Energy relative to the lowest polymorph listed for this composition**: 60.4 meV/atom

a = 10.0495 Å, b = 10.0495 Å, c = 10.0495 Å
α = 90.00°, β = 90.00°, γ = 90.00°
Closest atoms and distances in Å follow each position.
Space group I-43m (No. 217)
Asymmetric unit:
In 0.1666 0.1666 0.8334 (multiplicity 8)  4 Hg 2.80-2.93
Hg 0.0000 0.0000 0.3376 (multiplicity 12)  2 In 2.93, 7 Hg 2.96-3.26
Hg 0.0000 0.2500 0.5000 (multiplicity 12)  4 Hg 3.00
Hg 0.1725 0.1725 0.1725 (multiplicity 8)  1 In 2.80, 3 Hg 2.96



No. 12
Computed, not measured: a geometry-optimized TaAl2Ir2 structure at the GGA-PBEsol level of DFT.

**E_form**: -2.58 eV per formula unit
**E**: -8.592 eV per atom

a = 7.2436 Å, b = 7.2436 Å, c = 2.8545 Å
α = 90.00°, β = 90.00°, γ = 90.00°
Closest atoms and distances in Å follow each position.
Space group P4/mbm (No. 127)
Asymmetric unit:
Ta 0.0000 0.0000 0.0000 (multiplicity 2)  4 Ir 2.79, 2 Ta 2.85, 8 Al 3.09
Al 0.1548 0.3452 0.5000 (multiplicity 4)  6 Ir 2.53-2.58
Ir 0.1418 0.6418 0.0000 (multiplicity 4)  6 Al 2.53-2.58, 2 Ta 2.79



Q: Which value of E does entry 11 give?
A: -1.007 eV per atom



Q: What is the formula in the third record?
A: SrMgRe